1.
# Mg2Ag2O5 (PBE-GGA, optimized geometry)
data_Mg2Ag2O5
_cell_length_a 4.387
_cell_length_b 12.543
_cell_length_c 4.022
_cell_angle_alpha 90.00
_cell_angle_beta 90.00
_cell_angle_gamma 90.00
_space_group_name_H-M_alt 'P 1'
_space_group_IT_number 1
_space_group_name_Hall 'P 1'
loop_
_atom_site_label
_atom_site_fract_x
_atom_site_fract_y
_atom_site_fract_z
Mg1 0.229 0.080 0.000
Mg2 0.271 0.580 0.000
Mg3 0.729 0.420 0.000
Mg4 0.771 0.920 0.000
Ag1 0.245 0.349 0.500
Ag2 0.255 0.849 0.500
Ag3 0.745 0.151 0.500
Ag4 0.755 0.651 0.500
O1 0.000 0.000 0.500
O2 0.213 0.408 0.000
O3 0.247 0.663 0.500
O4 0.253 0.163 0.500
O5 0.287 0.908 0.000
O6 0.500 0.500 0.500
O7 0.713 0.092 0.000
O8 0.747 0.837 0.500
O9 0.753 0.337 0.500
O10 0.787 0.592 0.000
# formation energy (no corrections): -0.8876 eV/atom
# symmetry: Pbam, No. 55

=====

2.
# In2SiOs (PBE-GGA, optimized geometry)
data_In2SiOs
_cell_length_a 4.889
_cell_length_b 4.889
_cell_length_c 3.285
_cell_angle_alpha 90.00
_cell_angle_beta 90.00
_cell_angle_gamma 112.96
_space_group_name_H-M_alt 'P 1'
_space_group_IT_number 1
_space_group_name_Hall 'P 1'
loop_
_atom_site_label
_atom_site_fract_x
_atom_site_fract_y
_atom_site_fract_z
In1 0.000 0.500 0.000
In2 0.500 0.000 0.000
Si1 0.000 0.000 0.500
Os1 0.500 0.500 0.500
# formation energy (no corrections): 0.5617 eV/atom
# symmetry: Cmmm, No. 65

=====

3.
# PuPaPSe (PBE-GGA, optimized geometry)
data_PuPaPSe
_cell_length_a 7.057
_cell_length_b 7.057
_cell_length_c 7.057
_cell_angle_alpha 33.07
_cell_angle_beta 33.07
_cell_angle_gamma 33.07
_space_group_name_H-M_alt 'P 1'
_space_group_IT_number 1
_space_group_name_Hall 'P 1'
loop_
_atom_site_label
_atom_site_fract_x
_atom_site_fract_y
_atom_site_fract_z
Pu1 0.000 0.000 0.000
Pa1 0.512 0.512 0.512
P1 0.256 0.256 0.256
Se1 0.756 0.756 0.756
# formation energy (no corrections): -1.3447 eV/atom
# symmetry: R3m, No. 160

=====

4.
# Li7NbS6 (PBE-GGA, optimized geometry)
data_Li7NbS6
_cell_length_a 7.095
_cell_length_b 7.220
_cell_length_c 12.330
_cell_angle_alpha 90.00
_cell_angle_beta 123.86
_cell_angle_gamma 90.00
_space_group_name_H-M_alt 'P 1'
_space_group_IT_number 1
_space_group_name_Hall 'P 1'
loop_
_atom_site_label
_atom_site_fract_x
_atom_site_fract_y
_atom_site_fract_z
Li1 0.000 0.049 0.000
Li2 0.000 0.951 0.500
Li3 0.163 0.117 0.775
Li4 0.163 0.883 0.275
Li5 0.293 0.430 0.034
Li6 0.293 0.570 0.534
Li7 0.576 0.122 0.635
Li8 0.576 0.878 0.135
Li9 0.578 0.324 0.817
Li10 0.578 0.676 0.317
Li11 0.957 0.359 0.364
Li12 0.957 0.641 0.864
Li13 0.972 0.438 0.652
Li14 0.972 0.562 0.152
Nb1 0.452 0.228 0.335
Nb2 0.452 0.772 0.835
S1 0.063 0.220 0.205
S2 0.063 0.780 0.705
S3 0.210 0.260 0.599
S4 0.210 0.740 0.099
S5 0.570 0.475 0.474
S6 0.570 0.525 0.974
S7 0.572 0.042 0.951
S8 0.572 0.958 0.451
S9 0.586 0.230 0.206
S10 0.586 0.770 0.706
S11 0.940 0.291 0.833
S12 0.940 0.709 0.333
# formation energy (no corrections): -1.1755 eV/atom
# energy above the lowest structure with this stoichiometry: 0 meV/atom
# symmetry: Pc, No. 7